# 1
Entry from Alexandria via LeMat-Bulk: Sc2Sn2Pb after structural relaxation (GGA-PBEsol).

Calculated values
V = 27.19 Å³ per atom
uncorrected energy = -26.50 eV per formula unit
ΔH_f (0 K) = -0.15 eV per atom

Cell: 4.7336 4.7336 12.1366 Å, 90.00 90.00 90.00°
Positions (direct):
Sc (0.0000, 0.5000, 0.2500)
Sc (0.0000, 0.5000, 0.7500)
Sc (0.5000, 0.0000, 0.2500)
Sc (0.5000, 0.0000, 0.7500)
Sn (0.0000, 0.0000, 0.1151)
Sn (0.0000, 0.0000, 0.8849)
Sn (0.5000, 0.5000, 0.3849)
Sn (0.5000, 0.5000, 0.6151)
Pb (0.0000, 0.0000, 0.5000)
Pb (0.5000, 0.5000, 0.0000)



# 2
Entry from Alexandria via LeMat-Bulk: SrSc2Pb after structural relaxation (GGA-PBEsol).

Calculated values
V = 26.98 Å³ per atom
uncorrected energy = -19.03 eV per formula unit
ΔH_f (0 K) = 0.00 eV per atom

Cell: 7.5573 7.5573 7.5573 Å, 90.00 90.00 90.00°
Positions (direct):
Sr (0.0000, 0.0000, 0.0000)
Sr (0.0000, 0.5000, 0.5000)
Sr (0.5000, 0.0000, 0.5000)
Sr (0.5000, 0.5000, 0.0000)
Sc (0.0000, 0.0000, 0.5000)
Sc (0.0000, 0.5000, 0.0000)
Sc (0.2500, 0.2500, 0.7500)
Sc (0.2500, 0.7500, 0.2500)
Sc (0.5000, 0.0000, 0.0000)
Sc (0.5000, 0.5000, 0.5000)
Sc (0.7500, 0.2500, 0.2500)
Sc (0.7500, 0.7500, 0.7500)
Pb (0.2500, 0.2500, 0.2500)
Pb (0.2500, 0.7500, 0.7500)
Pb (0.7500, 0.2500, 0.7500)
Pb (0.7500, 0.7500, 0.2500)



# 3
Entry from Alexandria via LeMat-Bulk: SrSc2Pb after structural relaxation (GGA-PBEsol).

Calculated values
V = 26.80 Å³ per atom
uncorrected energy = -19.18 eV per formula unit
ΔH_f (0 K) = -0.03 eV per atom

Cell: 4.7127 4.7127 9.6547 Å, 90.00 90.00 90.00°
Positions (direct):
Sr (0.0000, 0.0000, 0.0000)
Sr (0.5000, 0.5000, 0.5000)
Sc (0.0000, 0.5000, 0.2500)
Sc (0.0000, 0.5000, 0.7500)
Sc (0.5000, 0.0000, 0.2500)
Sc (0.5000, 0.0000, 0.7500)
Pb (0.0000, 0.0000, 0.5000)
Pb (0.5000, 0.5000, 0.0000)



# 4
Entry from Alexandria via LeMat-Bulk: ScTaPb2 after structural relaxation (GGA-PBEsol).

Calculated values
V = 21.65 Å³ per atom
uncorrected energy = -26.14 eV per formula unit
ΔH_f (0 K) = 0.25 eV per atom

Cell: 7.0225 7.0225 7.0225 Å, 90.00 90.00 90.00°
Positions (direct):
Sc (0.0000, 0.0000, 0.0000)
Sc (0.0000, 0.5000, 0.5000)
Sc (0.5000, 0.0000, 0.5000)
Sc (0.5000, 0.5000, 0.0000)
Ta (0.0000, 0.0000, 0.5000)
Ta (0.0000, 0.5000, 0.0000)
Ta (0.5000, 0.0000, 0.0000)
Ta (0.5000, 0.5000, 0.5000)
Pb (0.2500, 0.2500, 0.2500)
Pb (0.2500, 0.2500, 0.7500)
Pb (0.2500, 0.7500, 0.2500)
Pb (0.2500, 0.7500, 0.7500)
Pb (0.7500, 0.2500, 0.2500)
Pb (0.7500, 0.2500, 0.7500)
Pb (0.7500, 0.7500, 0.2500)
Pb (0.7500, 0.7500, 0.7500)



# 5
Entry from Alexandria via LeMat-Bulk: ScTcPb3 after structural relaxation (GGA-PBEsol).

Calculated values
V = 28.41 Å³ per atom
uncorrected energy = -26.84 eV per formula unit
ΔH_f (0 K) = 0.60 eV per atom

Cell: 5.2174 5.2174 5.2174 Å, 90.00 90.00 90.00°
Positions (direct):
Sc (0.0000, 0.0000, 0.0000)
Tc (0.5000, 0.5000, 0.5000)
Pb (0.0000, 0.5000, 0.5000)
Pb (0.5000, 0.0000, 0.5000)
Pb (0.5000, 0.5000, 0.0000)



# 6
Entry from Alexandria via LeMat-Bulk: Sc2TcPb after structural relaxation (GGA-PBEsol).

Calculated values
V = 19.48 Å³ per atom
uncorrected energy = -29.81 eV per formula unit
ΔH_f (0 K) = -0.33 eV per atom

Cell: 3.4046 3.4046 6.7211 Å, 90.00 90.00 90.00°
Positions (direct):
Sc (0.0000, 0.0000, 0.2134)
Sc (0.0000, 0.0000, 0.7866)
Tc (0.5000, 0.5000, 0.0000)
Pb (0.5000, 0.5000, 0.5000)



# 7
Entry from Alexandria via LeMat-Bulk: Sc2TcPb after structural relaxation (GGA-PBEsol).

Calculated values
V = 18.90 Å³ per atom
uncorrected energy = -28.83 eV per formula unit
ΔH_f (0 K) = -0.09 eV per atom

Cell: 4.4107 4.4107 7.7720 Å, 90.00 90.00 90.00°
Positions (direct):
Sc (0.0000, 0.0000, 0.0000)
Sc (0.0000, 0.5000, 0.2500)
Sc (0.5000, 0.0000, 0.7500)
Sc (0.5000, 0.5000, 0.5000)
Tc (0.0000, 0.0000, 0.5000)
Tc (0.5000, 0.5000, 0.0000)
Pb (0.0000, 0.5000, 0.7500)
Pb (0.5000, 0.0000, 0.2500)



# 8
Entry from Alexandria via LeMat-Bulk: Sc2TcPb after structural relaxation (GGA-PBEsol).

Calculated values
V = 19.61 Å³ per atom
uncorrected energy = -28.95 eV per formula unit
ΔH_f (0 K) = -0.12 eV per atom

Cell: 3.4688 4.6555 9.7160 Å, 90.00 90.00 90.00°
Positions (direct):
Sc (0.0000, 0.0000, 0.0000)
Sc (0.0000, 0.5000, 0.2252)
Sc (0.5000, 0.0000, 0.7252)
Sc (0.5000, 0.5000, 0.5000)
Tc (0.0000, 0.5000, 0.7196)
Tc (0.5000, 0.0000, 0.2196)
Pb (0.0000, 0.0000, 0.4533)
Pb (0.5000, 0.5000, 0.9533)



| no. | density (g cm⁻³) |
| --- | --- |
| 1 | 6.53 |
| 2 | 5.92 |
| 3 | 5.96 |
| 4 | 12.28 |
| 5 | 8.94 |
| 6 | 8.42 |
| 7 | 8.68 |
| 8 | 8.36 |